Here is a geometry-optimized AcPmZn2 structure from Alexandria. Energies are from PBE-GGA.

Geometry as CIF:
```
data_AcPmZn2
_chemical_formula_sum 'Ac3 Pm3 Zn6'
_cell_length_a 3.8684
_cell_length_b 3.8684
_cell_length_c 27.5921
_cell_angle_alpha 90.00
_cell_angle_beta 90.00
_cell_angle_gamma 120.00
_space_group_name_H-M_alt 'R -3 m'
_space_group_IT_number 166
_space_group_name_Hall '-R 3 2"'
loop_
_atom_site_label
_atom_site_fract_x
_atom_site_fract_y
_atom_site_fract_z
Ac1 0.0000 0.0000 0.0000
Pm1 0.0000 0.0000 0.5000
Zn1 0.0000 0.0000 0.2446
```

Calculated density in g cm⁻³: 7.005
Energy relative to the lowest polymorph listed for this composition in kJ/mol of atoms: 20.02
Total DFT energy (no corrections) in eV/atom: -2.91
Formation energy from the elements in kJ/mol of atoms: -5.8